Entry 1:
Below is V3Co5O16 after structural relaxation, with properties calculated at the GGA+U level.

Lattice parameters (Å, degrees): 5.7443 5.7443 8.8964 91.53 91.53 59.64
Fractional positions:
V 0.8363 0.3323 0.7118
V 0.1529 0.1529 0.1993
V 0.3323 0.8363 0.7118
O 0.8332 0.3393 0.1003
O 0.1804 0.6582 0.6084
O 0.3254 0.3254 0.1020
O 0.3393 0.8332 0.1003
O 0.6523 0.6523 0.5952
O 0.8315 0.8315 0.1074
O 0.6582 0.1804 0.6084
O 0.5187 0.9486 0.8461
O 0.4830 0.4830 0.3243
O 0.4810 0.0519 0.3362
O 0.0048 0.0048 0.3180
O 0.0087 0.0087 0.8224
O 0.0519 0.4810 0.3362
O 0.1673 0.1673 0.6099
O 0.5245 0.5245 0.8435
O 0.9486 0.5187 0.8461
Co 0.1659 0.6596 0.2065
Co 0.6596 0.1659 0.2065
Co 0.6682 0.6682 0.9883
Co 0.3453 0.3453 0.4744
Co 0.8307 0.8307 0.7122

Results
total DFT energy (no corrections)	-154.03	eV/cell
space-group type	No. 8

---

Entry 2:
Below is VCo2O after structural relaxation, with properties calculated at the GGA+U level.

Lattice parameters (Å, degrees): 5.9967 5.9967 5.6418 57.90 57.90 90.00
Fractional positions:
V 0.7500 0.2500 0.5000
V 0.0000 0.0000 0.0000
Co 0.8750 0.7132 0.7500
Co 0.2868 0.6250 0.2500
Co 0.4632 0.1250 0.2500
Co 0.3750 0.5368 0.7500
O 0.2500 0.7500 0.5000
O 0.5000 0.5000 0.0000

Results
total DFT energy (no corrections)	-40.43	eV/cell
space-group type	No. 122

---

Entry 3:
Below is VCo3O after structural relaxation, with properties calculated at the GGA+U level.

Lattice parameters (Å, degrees): 4.3844 4.3844 4.3844 90.00 90.00 90.00
Fractional positions:
Co 0.5000 0.0000 0.0000
Co 0.0000 0.5000 0.0000
Co 0.0000 0.0000 0.5000
O 0.5000 0.5000 0.5000
V 0.0000 0.0000 0.0000

Results
space-group type	No. 221
E above lowest polymorph	145.5	kJ/mol of atoms

---

Entry 4:
Below is V3CoO after structural relaxation, with properties calculated at the GGA+U level.

Lattice parameters (Å, degrees): 4.1434 4.1434 4.1434 90.00 90.00 90.00
Fractional positions:
V 0.0000 0.0000 0.5000
V 0.5000 0.0000 0.0000
V 0.0000 0.5000 0.0000
Co 0.5000 0.5000 0.5000
O 0.0000 0.0000 0.0000

Results
space-group type	No. 221
E above lowest polymorph	0.0	kJ/mol of atoms

---

Entry 5:
Below is VCoO3 after structural relaxation, with properties calculated at the GGA+U level.

Lattice parameters (Å, degrees): 5.3262 5.3401 5.7640 87.89 117.60 94.15
Fractional positions:
Co 0.8240 0.4991 0.6479
Co 0.1733 0.5007 0.3472
O 0.4939 0.9993 0.9858
O 0.0039 0.5015 0.0085
O 0.0106 0.2337 0.5228
O 0.4784 0.2435 0.4800
O 0.0020 0.7564 0.4807
O 0.5117 0.7660 0.5225
V 0.6789 0.0003 0.3583
V 0.3232 0.9995 0.6461

Results
total DFT energy (no corrections)	-69.14	eV/cell
space-group type	No. 1

---

Entry 6:
Below is VCoO3 after structural relaxation, with properties calculated at the GGA+U level.

Lattice parameters (Å, degrees): 3.7758 3.7758 3.7758 90.00 90.00 90.00
Fractional positions:
O 0.0000 0.5000 0.0000
O 0.0000 0.0000 0.5000
O 0.5000 0.0000 0.0000
V 0.0000 0.0000 0.0000
Co 0.5000 0.5000 0.5000

Results
total DFT energy (no corrections)	-32.95	eV/cell
space-group type	No. 221

---

Number 1: total magnetic moment 8.061 μB/cell. Number 2: total magnetic moment 14.286 μB/cell. Number 3: total magnetic moment 2.506 μB/cell. Number 4: total magnetic moment 8.956 μB/cell. Number 5: total magnetic moment 8.000 μB/cell. Number 6: total magnetic moment 3.500 μB/cell.